(1)
The following is a PBE calculation of a geometry-optimized CdInNiHg2 structure, from Alexandria.

Cell: 5.108 5.108 4.977 Å, 90.00 90.00 90.00°
Sites, in units of the cell vectors:
Hg 0.000 0.500 0.000
Hg 0.500 0.000 0.000
Ni 0.000 0.000 0.000
Cd 0.500 0.500 0.500
In 0.000 0.000 0.500

Properties
The uncorrected energy comes out at -9.422 eV for the cell shown.

=====

(2)
The following is a PBE calculation of a geometry-optimized Cd2InNiHg structure, from Alexandria.

Cell: 5.093 5.093 4.939 Å, 90.00 90.00 90.00°
Sites, in units of the cell vectors:
In 0.000 0.000 0.500
Ni 0.000 0.000 0.000
Cd 0.000 0.500 0.000
Cd 0.500 0.000 0.000
Hg 0.500 0.500 0.500

Properties
The uncorrected energy comes out at -10.299 eV for the cell shown.

=====

(3)
The following is a PBE calculation of a geometry-optimized Cd2InHgO structure, from Alexandria.

Cell: 5.774 4.164 5.774 Å, 90.00 90.00 90.00°
Sites, in units of the cell vectors:
O 0.000 0.500 0.000
Hg 0.000 0.000 0.000
Cd 0.500 0.000 0.000
Cd 0.000 0.000 0.500
In 0.500 0.500 0.500

Properties
The uncorrected formation energy is 110 kJ/mol of formula units. The uncorrected energy comes out at -8.687 eV for the cell shown.

=====

Among the records above, which one has the lowest uncorrected energy? Cd2InNiHg

=====

Please write out number 2 again, unchanged.
The following is a PBE calculation of a geometry-optimized Cd2InNiHg structure, from Alexandria.

Cell: 5.093 5.093 4.939 Å, 90.00 90.00 90.00°
Sites, in units of the cell vectors:
In 0.000 0.000 0.500
Ni 0.000 0.000 0.000
Cd 0.000 0.500 0.000
Cd 0.500 0.000 0.000
Hg 0.500 0.500 0.500

Properties
The uncorrected energy comes out at -10.299 eV for the cell shown.